Entry one
A plane-wave DFT calculation with PBE was carried out for Pd4Pt3Rh2 after structural relaxation.

- Crystal system: monoclinic
- SG: No. 15
- DOS at the Fermi energy: 1.935 states/eV/atom

Structure (CIF):
```
data_Pd4Pt3Rh2
_chemical_formula_sum 'Pd8 Pt6 Rh4'
_symmetry_space_group_name_H-M 'P 1'
_symmetry_Int_Tables_number 1
_symmetry_space_group_name_Hall 'P 1'
_cell_length_a 4.919
_cell_length_b 7.632
_cell_length_c 7.632
_cell_angle_alpha 85.58
_cell_angle_beta 86.26
_cell_angle_gamma 86.26
loop_
_atom_site_label
_atom_site_type_symbol
_atom_site_fract_x
_atom_site_fract_y
_atom_site_fract_z
_atom_site_occupancy
Rh1 Rh 0.436 0.774 0.645 1
Rh2 Rh 0.936 0.645 0.774 1
Pd1 Pd 0.585 0.108 0.692 1
Pt1 Pt 0.087 0.964 0.836 1
Pd2 Pd 0.409 0.470 0.839 1
Pt2 Pt 0.413 0.164 0.036 1
Rh3 Rh 0.064 0.355 0.226 1
Pt3 Pt 0.587 0.836 0.964 1
Pt4 Pt 0.913 0.036 0.164 1
Pd3 Pd 0.915 0.308 0.892 1
Pt5 Pt 0.250 0.535 0.465 1
Pd4 Pd 0.909 0.839 0.470 1
Pd5 Pd 0.091 0.161 0.530 1
Pd6 Pd 0.591 0.530 0.161 1
Pd7 Pd 0.415 0.892 0.308 1
Pt6 Pt 0.750 0.465 0.535 1
Rh4 Rh 0.564 0.226 0.355 1
Pd8 Pd 0.085 0.692 0.108 1
```


Entry two
A plane-wave DFT calculation with PBE was carried out for Pd4Pt3Rh2 after structural relaxation.

- Crystal system: orthorhombic
- SG: No. 69
- DOS at the Fermi energy: 1.810 states/eV/atom

Structure (CIF):
```
data_Pd4Pt3Rh2
_chemical_formula_sum 'Pd4 Pt3 Rh2'
_symmetry_space_group_name_H-M 'P 1'
_symmetry_Int_Tables_number 1
_symmetry_space_group_name_Hall 'P 1'
_cell_length_a 5.385
_cell_length_b 5.385
_cell_length_c 6.541
_cell_angle_alpha 100.25
_cell_angle_beta 100.25
_cell_angle_gamma 124.60
loop_
_atom_site_label
_atom_site_type_symbol
_atom_site_fract_x
_atom_site_fract_y
_atom_site_fract_z
_atom_site_occupancy
Rh1 Rh 0.610 0.610 0.220 1
Pt1 Pt 0.500 0.000 0.000 1
Pt2 Pt 0.000 0.000 0.000 1
Rh2 Rh 0.390 0.390 0.780 1
Pd1 Pd 0.668 0.949 0.617 1
Pd2 Pd 0.949 0.668 0.617 1
Pt3 Pt 0.000 0.500 0.000 1
Pd3 Pd 0.332 0.051 0.383 1
Pd4 Pd 0.051 0.332 0.383 1
```


Least stable of them? entry two.